First-principles (GGA-PBEsol) data for a relaxed structure of La2FePt, as listed in Alexandria via LeMat-Bulk.

a = 3.5850 Å, b = 4.4627 Å, c = 6.2910 Å
α = 110.79°, β = 106.55°, γ = 90.00°
Each line ends with the local moment (μB).
Fractional coordinates of all 4 atoms:
1 Fe 0.2069 0.7066 0.4137  2.16
2 La 0.9743 0.9744 0.9487  -0.12
3 La 0.7683 0.2685 0.5367  -0.22
4 Pt 0.5505 0.5505 0.1010  0.06

Output
**E_tot**: -6.930 eV per atom
**Density of states at the Fermi level**: 5.1 states/eV per cell